Density functional theory data (PBE) for an optimized crystal structure of Li2Ca3Ge4.

Cell lengths 6.0797, 6.0797, 8.6771 Å; angles 104.96, 104.96, 40.66 degrees
Last column: nearest neighbours and their distance in Å.
Sites, in units of the cell vectors:
Li  0.1858  0.1858  0.3574  4 Ge 2.58-2.85
Li  0.8142  0.8142  0.6426  4 Ge 2.58-2.85
Ca  0.1222  0.1222  0.6955  7 Ge 3.07-3.19, 4 Li 3.17-3.41
Ca  0.5000  0.5000  0.0000  8 Ge 3.15-3.51
Ca  0.8778  0.8778  0.3045  7 Ge 3.07-3.19, 4 Li 3.17-3.41
Ge  0.2131  0.2131  0.0643  2 Ge 2.63, 1 Li 2.65
Ge  0.4218  0.4218  0.5793  1 Ge 2.53, 2 Li 2.58
Ge  0.5782  0.5782  0.4207  1 Ge 2.53, 2 Li 2.58
Ge  0.7869  0.7869  0.9357  2 Ge 2.63, 1 Li 2.65

Calculated values
- Crystal system: monoclinic
- Space group: C2/m
- Calculated formation energy: -0.5125 eV per atom